1.
Cs2TlCuRe: optimized geometry, PBE-GGA. Values from VASP.

Structure (Quantum ESPRESSO input):
```
&SYSTEM
  ibrav = 0, nat = 5, ntyp = 4
/
ATOMIC_SPECIES
Cs 132.91 Cs.upf
Tl 204.38 Tl.upf
Cu 63.55 Cu.upf
Re 186.21 Re.upf
ATOMIC_POSITIONS crystal
Cs 0.500 0.000 0.000
Tl 0.500 0.500 0.500
Cu 0.000 0.500 0.000
Re 0.000 0.000 0.000
Cs 0.000 0.000 0.500
CELL_PARAMETERS angstrom
6.158 0.000 0.000
0.000 4.803 0.000
0.000 0.000 6.158
```

Results
- ΔH_f (0 K): 1.378 eV per atom
- Calculated total energy: -2.746 eV per atom

2.
Li2NbCoIr: optimized geometry, PBE-GGA. Values from VASP.

Structure (Quantum ESPRESSO input):
```
&SYSTEM
  ibrav = 0, nat = 5, ntyp = 4
/
ATOMIC_SPECIES
Co 58.93 Co.upf
Li 6.94 Li.upf
Nb 92.91 Nb.upf
Ir 192.22 Ir.upf
ATOMIC_POSITIONS crystal
Co 0.000 0.000 0.000
Li 0.500 0.000 0.000
Li 0.000 0.000 0.500
Nb 0.500 0.500 0.500
Ir 0.000 0.500 0.000
CELL_PARAMETERS angstrom
3.993 0.000 0.000
0.000 4.628 0.000
0.000 0.000 3.993
```

Results
- ΔH_f (0 K): 0.653 eV per atom
- Calculated total energy: -5.320 eV per atom

3.
SrCe3Pm2Se6: optimized geometry, PBE-GGA. Values from VASP.

Structure (Quantum ESPRESSO input):
```
&SYSTEM
  ibrav = 0, nat = 12, ntyp = 4
/
ATOMIC_SPECIES
Se 78.96 Se.upf
Pm 145.00 Pm.upf
Ce 140.12 Ce.upf
Sr 87.62 Sr.upf
ATOMIC_POSITIONS crystal
Se 0.666 0.583 0.331
Pm 0.170 0.339 0.340
Se 0.998 0.744 0.996
Ce 0.500 0.500 0.000
Se 0.332 0.914 0.663
Ce 0.166 0.830 0.333
Sr 0.500 0.000 0.000
Se 0.668 0.086 0.337
Se 0.002 0.256 0.004
Ce 0.834 0.170 0.667
Pm 0.830 0.661 0.660
Se 0.334 0.417 0.669
CELL_PARAMETERS angstrom
4.218 0.000 0.000
0.000 8.523 0.274
-2.109 -2.489 8.921
```

Results
- E_form (uncorrected): -22.1 eV/f.u.
- Calculated total energy: -5.998 eV per atom

4.
Tc3MoAu: optimized geometry, PBE-GGA. Values from VASP.

Structure (Quantum ESPRESSO input):
```
&SYSTEM
  ibrav = 0, nat = 5, ntyp = 3
/
ATOMIC_SPECIES
Au 196.97 Au.upf
Tc 98.00 Tc.upf
Mo 95.94 Mo.upf
ATOMIC_POSITIONS crystal
Au 0.000 0.000 0.000
Tc 0.000 0.500 0.000
Tc 0.000 0.000 0.500
Tc 0.500 0.000 0.000
Mo 0.500 0.500 0.500
CELL_PARAMETERS angstrom
4.858 0.000 0.000
0.000 4.858 0.000
0.000 0.000 4.858
```

Results
- Relative energy among the computed polymorphs: 0.887 eV/atom
- ΔH_f (0 K): 2.578 eV per atom
- Calculated total energy: -6.463 eV per atom

5.
La2TaBr: optimized geometry, PBE-GGA. Values from VASP.

Structure (Quantum ESPRESSO input):
```
&SYSTEM
  ibrav = 0, nat = 4, ntyp = 3
/
ATOMIC_SPECIES
Ta 180.95 Ta.upf
Br 79.90 Br.upf
La 138.91 La.upf
ATOMIC_POSITIONS crystal
Ta 0.750 0.750 0.750
Br 0.500 0.500 0.500
La 0.000 0.000 0.000
La 0.250 0.250 0.250
CELL_PARAMETERS angstrom
5.332 0.000 0.000
2.666 4.617 0.000
2.666 1.539 4.353
```

Results
- Relative energy among the computed polymorphs: 0.777 eV/atom
- E_form (uncorrected): 2.0 eV/f.u.
- Calculated total energy: -5.341 eV per atom

6.
LaSc2Ga: optimized geometry, PBE-GGA. Values from VASP.

Structure (Quantum ESPRESSO input):
```
&SYSTEM
  ibrav = 0, nat = 4, ntyp = 3
/
ATOMIC_SPECIES
Sc 44.96 Sc.upf
Ga 69.72 Ga.upf
La 138.91 La.upf
ATOMIC_POSITIONS crystal
Sc 0.000 0.000 0.803
Sc 0.000 0.000 0.197
Ga 0.500 0.500 0.000
La 0.500 0.500 0.500
CELL_PARAMETERS angstrom
3.379 0.000 0.000
0.000 3.379 0.000
0.000 0.000 8.570
```

Results
- ΔH_f (0 K): -0.281 eV per atom
- Calculated total energy: -5.435 eV per atom